Computed, not measured: a relaxed Pm2SmPaSb5 crystal at the PBE level of DFT.

CIF file:
```
data_Pm2SmPaSb5
_chemical_formula_sum 'Pm2 Sm1 Pa1 Sb5'
_cell_length_a 5.463
_cell_length_b 5.463
_cell_length_c 11.754
_cell_angle_alpha 90.00
_cell_angle_beta 90.00
_cell_angle_gamma 90.00
_space_group_name_H-M_alt 'P 1'
_space_group_IT_number 1
loop_
_space_group_symop_operation_xyz
'x,y,z'
loop_
_atom_site_label
_atom_site_fract_x
_atom_site_fract_y
_atom_site_fract_z
Pm1 0.500 0.500 0.272
Pm2 0.500 0.500 0.728
Sm1 0.000 0.000 0.000
Pa1 0.000 0.000 0.500
Sb1 0.000 0.500 0.500
Sb2 0.500 0.000 0.500
Sb3 0.000 0.000 0.751
Sb4 0.000 0.000 0.249
Sb5 0.500 0.500 0.000
```

Summary:
The value obtained for the spin magnetization is 0.00 μB/cell. Its density of states at the Fermi level is 5.8 states/eV/f.u. The value obtained for the energy relative to the elements, uncorrected is -0.188 eV/atom.